A plane-wave DFT calculation with GGA-PBE was carried out for crystalline K2TcMo at its relaxed geometry. Values from VASP.

Summary:
The value obtained for the energy relative to the elements is 2306.9 meV per atom.

Quantum ESPRESSO input file:
```
&SYSTEM
  ibrav = 0, nat = 16, ntyp = 3
/
ATOMIC_SPECIES
K 39.10 K.upf
Tc 98.00 Tc.upf
Mo 95.94 Mo.upf
CELL_PARAMETERS angstrom
7.9653 0.0000 0.0000
0.0000 7.9653 0.0000
0.0000 0.0000 7.9653
ATOMIC_POSITIONS crystal
K 0.2500 0.2500 0.2500
K 0.2500 0.2500 0.7500
K 0.2500 0.7500 0.2500
K 0.2500 0.7500 0.7500
K 0.7500 0.2500 0.2500
K 0.7500 0.2500 0.7500
K 0.7500 0.7500 0.2500
K 0.7500 0.7500 0.7500
Tc 0.0000 0.0000 0.0000
Tc 0.0000 0.5000 0.5000
Tc 0.5000 0.0000 0.5000
Tc 0.5000 0.5000 0.0000
Mo 0.0000 0.0000 0.5000
Mo 0.0000 0.5000 0.0000
Mo 0.5000 0.0000 0.0000
Mo 0.5000 0.5000 0.5000
```

A plane-wave DFT calculation with GGA-PBE was carried out for crystalline Na2SbTe3 at its relaxed geometry. Values from VASP.

Summary:
The uncorrected formation energy is -2.20 eV per formula unit.

Quantum ESPRESSO input file:
```
&SYSTEM
  ibrav = 0, nat = 24, ntyp = 3
/
ATOMIC_SPECIES
Na 22.99 Na.upf
Sb 121.76 Sb.upf
Te 127.60 Te.upf
CELL_PARAMETERS angstrom
3.1987 -7.8771 0.0000
3.1987 7.8771 0.0000
0.0000 0.0000 16.8806
ATOMIC_POSITIONS crystal
Na 0.0222 0.9778 0.8510
Na 0.1240 0.8760 0.4586
Na 0.3760 0.6240 0.9586
Na 0.4778 0.5222 0.3510
Na 0.5222 0.4778 0.6490
Na 0.6240 0.3760 0.0414
Na 0.8760 0.1240 0.5414
Na 0.9778 0.0222 0.1490
Sb 0.2384 0.7616 0.6440
Sb 0.2616 0.7384 0.1440
Sb 0.7384 0.2616 0.8560
Sb 0.7616 0.2384 0.3560
Te 0.0513 0.9487 0.6464
Te 0.1054 0.3946 0.7500
Te 0.1575 0.8425 0.0087
Te 0.3425 0.6575 0.5087
Te 0.3946 0.1054 0.2500
Te 0.4487 0.5513 0.1464
Te 0.5513 0.4487 0.8536
Te 0.6054 0.8946 0.7500
Te 0.6575 0.3425 0.4913
Te 0.8425 0.1575 0.9913
Te 0.8946 0.6054 0.2500
Te 0.9487 0.0513 0.3536
```

A plane-wave DFT calculation with GGA-PBE was carried out for crystalline NdTmTh2 at its relaxed geometry. Values from VASP.

Summary:
The value obtained for the energy relative to the elements is 185.6 meV per atom.

Quantum ESPRESSO input file:
```
&SYSTEM
  ibrav = 0, nat = 12, ntyp = 3
/
ATOMIC_SPECIES
Nd 144.24 Nd.upf
Tm 168.93 Tm.upf
Th 232.04 Th.upf
CELL_PARAMETERS angstrom
3.4923 0.0000 0.0000
-1.7461 3.0244 0.0000
0.0000 0.0000 37.2914
ATOMIC_POSITIONS crystal
Nd 0.0000 0.0000 0.0000
Nd 0.3333 0.6667 0.6667
Nd 0.6667 0.3333 0.3333
Tm 0.0000 0.0000 0.5000
Tm 0.3333 0.6667 0.1667
Tm 0.6667 0.3333 0.8333
Th 0.0000 0.0000 0.0887
Th 0.0000 0.0000 0.9113
Th 0.3333 0.6667 0.5780
Th 0.3333 0.6667 0.7553
Th 0.6667 0.3333 0.2447
Th 0.6667 0.3333 0.4220
```

A plane-wave DFT calculation with GGA-PBE was carried out for crystalline Ce2PuBi5 at its relaxed geometry. Values from VASP.

Summary:
The value obtained for the energy relative to the elements is -459.4 meV per atom.

Quantum ESPRESSO input file:
```
&SYSTEM
  ibrav = 0, nat = 16, ntyp = 3
/
ATOMIC_SPECIES
Ce 140.12 Ce.upf
Pu 244.00 Pu.upf
Bi 208.98 Bi.upf
CELL_PARAMETERS angstrom
8.3466 0.0000 0.0000
0.0000 13.2440 0.0000
0.0000 0.0000 4.6338
ATOMIC_POSITIONS crystal
Ce 0.1087 0.1791 0.0000
Ce 0.3913 0.6791 0.0000
Ce 0.6087 0.3209 0.0000
Ce 0.8913 0.8209 0.0000
Pu 0.0000 0.5000 0.5000
Pu 0.5000 0.0000 0.5000
Bi 0.0000 0.0000 0.5000
Bi 0.1215 0.7216 0.5000
Bi 0.2385 0.4275 0.0000
Bi 0.2615 0.9275 0.0000
Bi 0.3785 0.2216 0.5000
Bi 0.5000 0.5000 0.5000
Bi 0.6215 0.7784 0.5000
Bi 0.7385 0.0725 0.0000
Bi 0.7615 0.5725 0.0000
Bi 0.8785 0.2784 0.5000
```

A plane-wave DFT calculation with GGA-PBE was carried out for crystalline P3SI at its relaxed geometry. Values from VASP.

Summary:
The uncorrected formation energy is 5.33 eV per formula unit.

Quantum ESPRESSO input file:
```
&SYSTEM
  ibrav = 0, nat = 5, ntyp = 3
/
ATOMIC_SPECIES
P 30.97 P.upf
S 32.06 S.upf
I 126.90 I.upf
CELL_PARAMETERS angstrom
4.6749 0.0000 0.0000
0.0000 4.6749 0.0000
0.0000 0.0000 4.6749
ATOMIC_POSITIONS crystal
P 0.0000 0.0000 0.5000
P 0.0000 0.5000 0.0000
P 0.5000 0.0000 0.0000
S 0.0000 0.0000 0.0000
I 0.5000 0.5000 0.5000
```

A plane-wave DFT calculation with GGA-PBE was carried out for crystalline CdCu3Se at its relaxed geometry. Values from VASP.

Summary:
The uncorrected formation energy is 4.80 eV per formula unit.

Quantum ESPRESSO input file:
```
&SYSTEM
  ibrav = 0, nat = 5, ntyp = 3
/
ATOMIC_SPECIES
Cd 112.41 Cd.upf
Cu 63.55 Cu.upf
Se 78.96 Se.upf
CELL_PARAMETERS angstrom
4.7880 0.0000 0.0000
0.0000 4.7880 0.0000
0.0000 0.0000 4.7880
ATOMIC_POSITIONS crystal
Cd 0.0000 0.0000 0.0000
Cu 0.0000 0.0000 0.5000
Cu 0.0000 0.5000 0.0000
Cu 0.5000 0.0000 0.0000
Se 0.5000 0.5000 0.5000
```

A plane-wave DFT calculation with GGA-PBE was carried out for crystalline SrThSn2Au2 at its relaxed geometry. Values from VASP.

Summary:
The value obtained for the energy relative to the elements is -702.3 meV per atom.

Quantum ESPRESSO input file:
```
&SYSTEM
  ibrav = 0, nat = 6, ntyp = 4
/
ATOMIC_SPECIES
Sr 87.62 Sr.upf
Th 232.04 Th.upf
Sn 118.71 Sn.upf
Au 196.97 Au.upf
CELL_PARAMETERS angstrom
4.7520 0.0000 0.0000
-2.3760 4.1154 0.0000
0.0000 0.0000 8.3548
ATOMIC_POSITIONS crystal
Sr 0.0000 0.0000 0.0000
Th 0.0000 0.0000 0.5000
Sn 0.3333 0.6667 0.7246
Sn 0.6667 0.3333 0.2754
Au 0.3333 0.6667 0.2697
Au 0.6667 0.3333 0.7303
```

A plane-wave DFT calculation with GGA-PBE was carried out for crystalline Tb3YEr2 at its relaxed geometry. Values from VASP.

Summary:
The value obtained for the energy relative to the elements is 124.0 meV per atom.

Quantum ESPRESSO input file:
```
&SYSTEM
  ibrav = 0, nat = 12, ntyp = 3
/
ATOMIC_SPECIES
Tb 158.93 Tb.upf
Y 88.91 Y.upf
Er 167.26 Er.upf
CELL_PARAMETERS angstrom
11.5188 -1.7427 0.0000
11.5188 1.7427 0.0000
-3.2166 0.0000 9.6621
ATOMIC_POSITIONS crystal
Tb 0.0594 0.0594 0.4393
Tb 0.1961 0.1961 0.7141
Tb 0.4309 0.4309 0.2324
Tb 0.5691 0.5691 0.7676
Tb 0.8039 0.8039 0.2859
Tb 0.9406 0.9406 0.5607
Y 0.1863 0.1863 0.0391
Y 0.8137 0.8137 0.9609
Er 0.1927 0.1927 0.3726
Er 0.4301 0.4301 0.8622
Er 0.5699 0.5699 0.1378
Er 0.8073 0.8073 0.6274
```